Below is a relaxed ZrSiOs crystal, with properties calculated at the PBE level.

```
ZrSiOs
1.0
4.0686 0.0000 0.0000
0.0000 6.4430 0.0000
0.0000 0.0000 7.4833
Si Os Zr
4 4 4
Direct
0.7500 0.2123 0.8784
0.7500 0.7123 0.6216
0.2500 0.2877 0.3784
0.2500 0.7877 0.1216
0.7500 0.8383 0.9406
0.7500 0.3383 0.5594
0.2500 0.6617 0.4406
0.2500 0.1617 0.0594
0.2500 0.5127 0.8161
0.2500 0.0127 0.6839
0.7500 0.9873 0.3161
0.7500 0.4873 0.1839
```

Computed properties:
Volume (A^3/atom): 16.347
Raw formation energy (eV/atom): -0.831